1.
ScZn PBE-GGA relaxed; ΔE_f = -0.76 eV/f.u.; symmetry = Pm-3m (221)
1.0
3.342 0.000 0.000
0.000 3.342 0.000
0.000 0.000 3.342
Sc Zn
1 1
direct
0.000 0.000 0.000
0.500 0.500 0.500


2.
NaTcSb PBE-GGA relaxed; E above lowest polymorph = 0.00 eV/f.u.; symmetry = F-43m (216)
1.0
0.000 3.187 3.187
3.187 0.000 3.187
3.187 3.187 0.000
Na Tc Sb
1 1 1
direct
0.000 0.000 0.000
0.250 0.250 0.250
0.500 0.500 0.500


3.
FeB4Pb PBE-GGA relaxed; E above lowest polymorph = 2.16 eV/f.u.; symmetry = Immm (71)
1.0
-1.519 2.722 3.782
1.519 -2.722 3.782
1.519 2.722 -3.782
Fe B Pb
1 4 1
direct
0.000 0.000 0.000
0.076 0.736 0.340
0.396 0.736 0.660
0.604 0.264 0.340
0.924 0.264 0.660
0.500 0.500 0.000